# PBE-GGA Li6La, optimized geometry
data_Li6La
_chemical_formula_sum 'Li12 La2'
_space_group_name_H-M_alt 'I m -3 m'
_space_group_IT_number 229
_space_group_name_Hall '-I 4 2 3'
_cell_length_a 7.002
_cell_length_b 7.002
_cell_length_c 7.002
_cell_angle_alpha 90.00
_cell_angle_beta 90.00
_cell_angle_gamma 90.00
loop_
_atom_site_label
_atom_site_type_symbol
_atom_site_fract_x
_atom_site_fract_y
_atom_site_fract_z
_atom_site_occupancy
Li1 Li 0.000 0.250 0.500 1
La1 La 0.000 0.000 0.000 1
# ΔE_f (meV/atom): 317
# Total DFT energy (no corrections) (eV/atom): -2.027